Below is a geometry-optimized RbEuSb structure, with properties calculated at the GGA-PBE level.

Results
The formation energy from raw total energies is -1.540 eV/f.u. The calculation puts the size of the total moment at 14.0 μB/cell. The total energy comes out at -5.635 eV/atom.

Lattice parameters (Å, degrees): 4.468 4.468 13.410 90.00 90.00 90.00
Fractional positions:
Rb  0.000  0.000  0.000
Rb  0.500  0.500  0.500
Eu  0.000  0.000  0.261
Eu  0.500  0.500  0.761
Sb  0.000  0.000  0.707
Sb  0.500  0.500  0.207

Below is a geometry-optimized RbEuSb2 structure, with properties calculated at the GGA-PBE level.

Results
The formation energy from raw total energies is -2.710 eV/f.u. The calculation puts the size of the total moment at 7.0 μB/cell. The total energy comes out at -5.549 eV/atom. The energy relative to the lowest polymorph listed for this composition comes out at 0.0000 eV/atom.

Lattice parameters (Å, degrees): 4.345 4.345 7.810 90.00 90.00 90.00
Fractional positions:
Rb  0.000  0.000  0.000
Eu  0.000  0.000  0.500
Sb  0.500  0.500  0.318
Sb  0.500  0.500  0.682

Below is a geometry-optimized RbEuSb2 structure, with properties calculated at the GGA-PBE level.

Results
The formation energy from raw total energies is -1.442 eV/f.u. The calculation puts the size of the total moment at 20.5 μB/cell. The total energy comes out at -5.232 eV/atom. The energy relative to the lowest polymorph listed for this composition comes out at 0.3170 eV/atom.

Lattice parameters (Å, degrees): 5.099 5.099 22.264 90.00 90.00 120.00
Fractional positions:
Rb  0.000  0.000  0.000
Rb  0.333  0.667  0.667
Rb  0.667  0.333  0.333
Eu  0.000  0.000  0.500
Eu  0.333  0.667  0.167
Eu  0.667  0.333  0.833
Sb  0.000  0.000  0.221
Sb  0.000  0.000  0.779
Sb  0.333  0.667  0.446
Sb  0.333  0.667  0.888
Sb  0.667  0.333  0.112
Sb  0.667  0.333  0.554

Below is a geometry-optimized RbEuSb structure, with properties calculated at the GGA-PBE level.

Results
The formation energy from raw total energies is -1.690 eV/f.u. The calculation puts the size of the total moment at 28.0 μB/cell. The total energy comes out at -5.685 eV/atom.

Lattice parameters (Å, degrees): 8.137 8.137 8.137 90.00 90.00 90.00
Fractional positions:
Rb  0.000  0.000  0.000
Rb  0.000  0.500  0.500
Rb  0.500  0.000  0.500
Rb  0.500  0.500  0.000
Eu  0.000  0.000  0.500
Eu  0.000  0.500  0.000
Eu  0.500  0.000  0.000
Eu  0.500  0.500  0.500
Sb  0.250  0.250  0.750
Sb  0.250  0.750  0.250
Sb  0.750  0.250  0.250
Sb  0.750  0.750  0.750

Below is a geometry-optimized RbEu2Sn structure, with properties calculated at the GGA-PBE level.

Results
The calculated formation energy is -249 meV/atom. The calculation puts the size of the total moment at 14.8 μB/cell. The total energy comes out at -6.629 eV/atom.

Lattice parameters (Å, degrees): 4.055 4.055 11.023 90.00 90.00 90.00
Fractional positions:
Rb  0.000  0.000  0.000
Eu  0.500  0.500  0.338
Eu  0.500  0.500  0.662
Sn  0.000  0.000  0.500

Below is a geometry-optimized RbSr2Eu structure, with properties calculated at the GGA-PBE level.

Results
The calculated formation energy is 178 meV/atom. The calculation puts the size of the total moment at 30.0 μB/cell. The total energy comes out at -3.474 eV/atom. The energy relative to the lowest polymorph listed for this composition comes out at 0.0829 eV/atom.

Lattice parameters (Å, degrees): 9.770 9.770 9.770 90.00 90.00 90.00
Fractional positions:
Rb  0.000  0.000  0.000
Rb  0.000  0.500  0.500
Rb  0.500  0.000  0.500
Rb  0.500  0.500  0.000
Sr  0.250  0.250  0.250
Sr  0.250  0.250  0.750
Sr  0.250  0.750  0.250
Sr  0.250  0.750  0.750
Sr  0.750  0.250  0.250
Sr  0.750  0.250  0.750
Sr  0.750  0.750  0.250
Sr  0.750  0.750  0.750
Eu  0.000  0.000  0.500
Eu  0.000  0.500  0.000
Eu  0.500  0.000  0.000
Eu  0.500  0.500  0.500

Below is a geometry-optimized RbSr2Eu structure, with properties calculated at the GGA-PBE level.

Results
The calculated formation energy is 128 meV/atom. The calculation puts the size of the total moment at 22.9 μB/cell. The total energy comes out at -3.523 eV/atom. The energy relative to the lowest polymorph listed for this composition comes out at 0.0334 eV/atom.

Lattice parameters (Å, degrees): 4.224 4.224 45.624 90.00 90.00 120.00
Fractional positions:
Rb  0.000  0.000  0.000
Rb  0.333  0.667  0.667
Rb  0.667  0.333  0.333
Sr  0.000  0.000  0.094
Sr  0.000  0.000  0.906
Sr  0.333  0.667  0.573
Sr  0.333  0.667  0.760
Sr  0.667  0.333  0.240
Sr  0.667  0.333  0.427
Eu  0.000  0.000  0.500
Eu  0.333  0.667  0.167
Eu  0.667  0.333  0.833

Below is a geometry-optimized RbSrEu2 structure, with properties calculated at the GGA-PBE level.

Results
The calculated formation energy is 149 meV/atom. The calculation puts the size of the total moment at 15.1 μB/cell. The total energy comes out at -5.651 eV/atom.

Lattice parameters (Å, degrees): 4.113 4.113 13.189 90.00 90.00 90.00
Fractional positions:
Rb  0.000  0.000  0.000
Sr  0.000  0.000  0.500
Eu  0.500  0.500  0.276
Eu  0.500  0.500  0.724

Below is a geometry-optimized RbSr2Eu structure, with properties calculated at the GGA-PBE level.

Results
The calculated formation energy is 95 meV/atom. The calculation puts the size of the total moment at 7.5 μB/cell. The total energy comes out at -3.556 eV/atom. The energy relative to the lowest polymorph listed for this composition comes out at 0.0000 eV/atom.

Lattice parameters (Å, degrees): 4.238 4.238 12.980 90.00 90.00 90.00
Fractional positions:
Rb  0.000  0.000  0.000
Sr  0.500  0.500  0.282
Sr  0.500  0.500  0.718
Eu  0.000  0.000  0.500

Below is a geometry-optimized RbSr2Eu structure, with properties calculated at the GGA-PBE level.

Results
The calculated formation energy is 164 meV/atom. The calculation puts the size of the total moment at 7.5 μB/cell. The total energy comes out at -3.487 eV/atom. The energy relative to the lowest polymorph listed for this composition comes out at 0.0694 eV/atom.

Lattice parameters (Å, degrees): 7.103 7.103 4.531 90.00 90.00 90.00
Fractional positions:
Rb  0.000  0.000  0.000
Sr  0.000  0.500  0.500
Sr  0.500  0.000  0.500
Eu  0.500  0.500  0.000

Below is a geometry-optimized RbTbEu2 structure, with properties calculated at the GGA-PBE level.

Results
The calculated formation energy is 221 meV/atom. The calculation puts the size of the total moment at 47.2 μB/cell. The total energy comes out at -6.315 eV/atom.

Lattice parameters (Å, degrees): 3.867 3.867 42.206 90.00 90.00 120.00
Fractional positions:
Rb  0.000  0.000  0.000
Rb  0.333  0.667  0.667
Rb  0.667  0.333  0.333
Tb  0.000  0.000  0.500
Tb  0.333  0.667  0.167
Tb  0.667  0.333  0.833
Eu  0.000  0.000  0.096
Eu  0.000  0.000  0.904
Eu  0.333  0.667  0.571
Eu  0.333  0.667  0.763
Eu  0.667  0.333  0.237
Eu  0.667  0.333  0.429

Below is a geometry-optimized RbEuTe structure, with properties calculated at the GGA-PBE level.

Results
The formation energy from raw total energies is -2.676 eV/f.u. The calculation puts the size of the total moment at 15.2 μB/cell. The total energy comes out at -5.686 eV/atom.

Lattice parameters (Å, degrees): 4.280 4.280 15.530 90.00 90.00 90.00
Fractional positions:
Rb  0.000  0.000  0.000
Rb  0.500  0.500  0.500
Eu  0.000  0.000  0.248
Eu  0.500  0.500  0.748
Te  0.000  0.000  0.668
Te  0.500  0.500  0.168

N(E_F)
In order: 23.0; 8.6; 15.9; 29.7; 9.6; 64.7; 12.7; 21.7; 4.6; 3.9; 36.5; 22.0
Unit: states/eV per cell